1.
This record from Alexandria describes crystalline K2HoCd3F12 at its relaxed geometry. The functional is PBE-GGA.

a b c (Å): 8.2213 8.2213 8.2213
angles (deg): 57.45 57.45 57.45
Atoms (fractional coordinates):
K1 0.5907 0.5907 0.5907
K2 0.4093 0.4093 0.4093
Ho1 0.0000 0.0000 0.0000
Cd1 0.5000 0.0000 0.0000
Cd2 0.0000 0.5000 0.0000
Cd3 0.0000 0.0000 0.5000
F1 0.3353 0.3353 0.9019
F2 0.9304 0.9304 0.3202
F3 0.3202 0.9304 0.9304
F4 0.9019 0.3353 0.3353
F5 0.9304 0.3202 0.9304
F6 0.3353 0.9019 0.3353
F7 0.6647 0.6647 0.0981
F8 0.0696 0.0696 0.6798
F9 0.6798 0.0696 0.0696
F10 0.0981 0.6647 0.6647
F11 0.0696 0.6798 0.0696
F12 0.6647 0.0981 0.6647

**Formation energy (no corrections)**: -2.591 eV per atom
**Calculated total energy**: -4.368 eV/atom
**Total moment**: 0.0 μB/cell

2.
This record from Alexandria describes crystalline RbHoCd2F8 at its relaxed geometry. The functional is PBE-GGA.

a b c (Å): 4.0605 6.0032 8.3173
angles (deg): 82.91 86.87 78.97
Atoms (fractional coordinates):
Rb1 0.0000 0.0000 0.5000
Ho1 0.0000 0.0000 0.0000
Cd1 0.3977 0.4505 0.7205
Cd2 0.6023 0.5495 0.2795
F1 0.0568 0.7391 0.2345
F2 0.5586 0.7965 0.0457
F3 0.8968 0.2357 0.1865
F4 0.9432 0.2609 0.7655
F5 0.4414 0.2035 0.9543
F6 0.1032 0.7643 0.8135
F7 0.6004 0.6878 0.5248
F8 0.3996 0.3122 0.4752

**Formation energy (no corrections)**: -2.910 eV per atom
**Calculated total energy**: -4.772 eV/atom
**Total moment**: 0.1 μB/cell

3.
This record from Alexandria describes crystalline HoTl2Cd3F12 at its relaxed geometry. The functional is PBE-GGA.

a b c (Å): 8.2479 8.2479 8.2479
angles (deg): 56.18 56.18 56.18
Atoms (fractional coordinates):
Ho1 0.0000 0.0000 0.0000
Tl1 0.5805 0.5805 0.5805
Tl2 0.4195 0.4195 0.4195
Cd1 0.5000 0.0000 0.0000
Cd2 0.0000 0.5000 0.0000
Cd3 0.0000 0.0000 0.5000
F1 0.3569 0.3569 0.8860
F2 0.9361 0.9361 0.3181
F3 0.3181 0.9361 0.9361
F4 0.8860 0.3569 0.3569
F5 0.9361 0.3181 0.9361
F6 0.3569 0.8860 0.3569
F7 0.6431 0.6431 0.1140
F8 0.0639 0.0639 0.6819
F9 0.6819 0.0639 0.0639
F10 0.1140 0.6431 0.6431
F11 0.0639 0.6819 0.0639
F12 0.6431 0.1140 0.6431

**Formation energy (no corrections)**: -2.366 eV per atom
**Calculated total energy**: -4.283 eV/atom
**Total moment**: 0.0 μB/cell

4.
This record from Alexandria describes crystalline HoTlCdF6 at its relaxed geometry. The functional is PBE-GGA.

a b c (Å): 6.1037 6.1037 5.6371
angles (deg): 90.02 89.98 59.97
Atoms (fractional coordinates):
Ho1 0.6666 0.6667 0.5000
Tl1 0.0000 0.0000 0.0000
Cd1 0.3333 0.3334 0.5000
F1 0.9889 0.3849 0.2941
F2 0.3847 0.9890 0.7058
F3 0.6262 0.3850 0.7059
F4 0.9887 0.6264 0.7058
F5 0.3850 0.6261 0.2941
F6 0.6262 0.9887 0.2941

**Formation energy (no corrections)**: -2.948 eV per atom
**Calculated total energy**: -5.068 eV/atom
**Total moment**: 0.0 μB/cell